Run P
A relaxed structure of VTe2IF. Source: the Alexandria database, functional PBE+U.

Geometry as POSCAR:
```
VTe2IF
1.0
5.1170 0.0000 0.0000
0.0000 5.1170 0.0000
0.0000 0.0000 5.3795
V Te I F
1 2 1 1
direct
0.0000 0.0000 0.0000 V
0.0000 0.5000 0.0000 Te
0.5000 0.0000 0.0000 Te
0.0000 0.0000 0.5000 I
0.5000 0.5000 0.5000 F
```

N(E_F): 6.83 states/eV/cell
Symmetry: P4/mmm
Magnetization: 0.0 μB/f.u.

---

Run Q
A relaxed structure of VTe2IF. Source: the Alexandria database, functional PBE+U.

Geometry as POSCAR:
```
VTe2IF
1.0
5.8151 0.0000 0.0000
0.0000 5.8151 0.0000
0.0000 0.0000 4.5308
V Te I F
1 2 1 1
direct
0.0000 0.0000 0.0000 V
0.0000 0.5000 0.5000 Te
0.5000 0.0000 0.5000 Te
0.5000 0.5000 0.5000 I
0.5000 0.5000 0.0000 F
```

N(E_F): 6.11 states/eV/cell
Symmetry: P4/mmm
Magnetization: 1.9 μB/f.u.

---

Result of the stability comparison: run Q is the least stable of them.